Entry 1:
! CaLaCd (SCAN, PBEsol geometry); values from VASP
! ΔE_f (kJ/mol of atoms): -25.5
&SYSTEM
  ibrav = 0, nat = 3, ntyp = 3
/
ATOMIC_SPECIES
Ca 40.08 Ca.upf
La 138.91 La.upf
Cd 112.41 Cd.upf
CELL_PARAMETERS angstrom
3.6585 0.0000 0.0000
0.0000 3.6585 0.0000
-1.8293 -1.8293 6.9810
ATOMIC_POSITIONS crystal
Ca 0.0246 0.0246 0.0492
La 0.3115 0.3115 0.6230
Cd 0.6639 0.6639 0.3278

Entry 2:
! CaHg3Pd (SCAN, PBEsol geometry); values from VASP
! ΔE_f (kJ/mol of atoms): -19.3
&SYSTEM
  ibrav = 0, nat = 5, ntyp = 3
/
ATOMIC_SPECIES
Ca 40.08 Ca.upf
Hg 200.59 Hg.upf
Pd 106.42 Pd.upf
CELL_PARAMETERS angstrom
-0.4938 -3.7673 3.4361
4.9433 -1.2000 -0.6053
1.2500 3.2574 3.7510
ATOMIC_POSITIONS crystal
Ca 0.5000 0.5000 0.5000
Hg 0.0000 0.5000 0.0000
Hg 0.0000 0.0000 0.5000
Hg 0.5000 0.0000 0.0000
Pd 0.0000 0.0000 0.0000

Entry 3:
! AlCoP2S (SCAN, PBEsol geometry); values from VASP
! E_form (uncorrected) (eV per atom): 0.829
&SYSTEM
  ibrav = 0, nat = 5, ntyp = 4
/
ATOMIC_SPECIES
P 30.97 P.upf
S 32.06 S.upf
Co 58.93 Co.upf
Al 26.98 Al.upf
CELL_PARAMETERS angstrom
4.5100 0.0000 0.0000
0.0000 4.5200 0.0000
0.0000 0.0000 4.5200
ATOMIC_POSITIONS crystal
P 0.0000 0.0000 0.5000
P 0.0000 0.5000 0.0000
S 0.5000 0.0000 0.0000
Co 0.5000 0.5000 0.5000
Al 0.0000 0.0000 0.0000

Entry 4:
! ScCd2Ir (SCAN, PBEsol geometry); values from VASP
! ΔE_f (kJ/mol of atoms): -18.2
&SYSTEM
  ibrav = 0, nat = 4, ntyp = 3
/
ATOMIC_SPECIES
Cd 112.41 Cd.upf
Ir 192.22 Ir.upf
Sc 44.96 Sc.upf
CELL_PARAMETERS angstrom
-0.5892 2.6338 1.4466
-1.8522 -2.6018 3.4675
5.7395 -0.2390 -0.2107
ATOMIC_POSITIONS crystal
Cd 0.0000 0.0000 0.5000
Cd 0.5000 0.5000 0.5000
Ir 0.5000 0.0000 0.0000
Sc 0.0000 0.5000 0.0000

Entry 5:
! KSrZr2 (SCAN, PBEsol geometry); values from VASP
! ΔE_f (kJ/mol of atoms): 84.6
&SYSTEM
  ibrav = 0, nat = 4, ntyp = 3
/
ATOMIC_SPECIES
K 39.10 K.upf
Sr 87.62 Sr.upf
Zr 91.22 Zr.upf
CELL_PARAMETERS angstrom
3.3664 0.0000 0.0000
0.0000 5.4951 0.0000
-1.6832 -2.7475 6.3328
ATOMIC_POSITIONS crystal
K 0.0000 0.5000 0.0000
Sr 0.5000 0.0000 0.0000
Zr 0.7538 0.7538 0.5075
Zr 0.2462 0.2462 0.4925

Entry 6:
! K2CaCrPb (SCAN, PBEsol geometry); values from VASP
! ΔE_f (kJ/mol of atoms): 55.6
&SYSTEM
  ibrav = 0, nat = 5, ntyp = 4
/
ATOMIC_SPECIES
Pb 207.20 Pb.upf
Cr 52.00 Cr.upf
Ca 40.08 Ca.upf
K 39.10 K.upf
CELL_PARAMETERS angstrom
5.9820 0.0000 0.0000
0.0000 5.9986 0.0000
0.0000 0.0000 5.9986
ATOMIC_POSITIONS crystal
Pb 0.5000 0.5000 0.5000
Cr 0.0000 0.0000 0.0000
Ca 0.5000 0.0000 0.0000
K 0.0000 0.0000 0.5000
K 0.0000 0.5000 0.0000

Entry 7:
! LiNbCl3 (SCAN, PBEsol geometry); values from VASP
! E_form (uncorrected) (eV per atom): -0.672
&SYSTEM
  ibrav = 0, nat = 5, ntyp = 3
/
ATOMIC_SPECIES
Nb 92.91 Nb.upf
Li 6.94 Li.upf
Cl 35.45 Cl.upf
CELL_PARAMETERS angstrom
-0.3642 2.3383 3.8271
-4.2834 -1.3194 0.3985
1.3293 -3.6109 2.3327
ATOMIC_POSITIONS crystal
Nb 0.5000 0.5000 0.5000
Li 0.0000 0.0000 0.0000
Cl 0.0000 0.5000 0.0000
Cl 0.0000 0.0000 0.5000
Cl 0.5000 0.0000 0.0000

Entry 8:
! LiScRh (SCAN, PBEsol geometry); values from VASP
! ΔE_f (kJ/mol of atoms): -51.4
&SYSTEM
  ibrav = 0, nat = 3, ntyp = 3
/
ATOMIC_SPECIES
Li 6.94 Li.upf
Rh 102.91 Rh.upf
Sc 44.96 Sc.upf
CELL_PARAMETERS angstrom
3.2438 0.0000 0.0000
0.0000 3.2438 0.0000
-1.6219 -1.6219 4.4968
ATOMIC_POSITIONS crystal
Li 0.0184 0.0184 0.0369
Rh 0.6650 0.6650 0.3300
Sc 0.3165 0.3165 0.6331

Entry 9:
! Sr4Al6SO16 (SCAN, PBEsol geometry); values from VASP
! E_form (uncorrected) (eV per atom): -3.155
&SYSTEM
  ibrav = 0, nat = 27, ntyp = 4
/
ATOMIC_SPECIES
Sr 87.62 Sr.upf
Al 26.98 Al.upf
S 32.06 S.upf
O 16.00 O.upf
CELL_PARAMETERS angstrom
8.0784 0.0000 0.0000
-2.6928 7.6163 0.0000
-2.6928 -3.8082 6.5960
ATOMIC_POSITIONS crystal
Sr 0.0000 0.0000 0.6114
Sr 0.0000 0.6114 0.0000
Sr 0.3886 0.3886 0.3886
Sr 0.6114 0.0000 0.0000
Al 0.7500 0.5000 0.2500
Al 0.2500 0.7500 0.5000
Al 0.5000 0.2500 0.7500
Al 0.2500 0.5000 0.7500
Al 0.5000 0.7500 0.2500
Al 0.7500 0.2500 0.5000
S 0.0000 0.0000 0.0000
O 0.0000 0.3973 0.7027
O 0.3054 0.6027 0.6027
O 0.0000 0.7027 0.3973
O 0.3973 0.7027 0.0000
O 0.3973 0.0000 0.7027
O 0.6027 0.3054 0.6027
O 0.7027 0.3973 0.0000
O 0.2973 0.6946 0.2973
O 0.2973 0.2973 0.6946
O 0.7027 0.0000 0.3973
O 0.6027 0.6027 0.3054
O 0.1845 0.0000 0.0000
O 0.8155 0.8155 0.8155
O 0.0000 0.0000 0.1845
O 0.0000 0.1845 0.0000
O 0.6946 0.2973 0.2973

Entry 10:
! NaCo3W (SCAN, PBEsol geometry); values from VASP
! ΔE_f (kJ/mol of atoms): 132.2
&SYSTEM
  ibrav = 0, nat = 5, ntyp = 3
/
ATOMIC_SPECIES
Na 22.99 Na.upf
Co 58.93 Co.upf
W 183.84 W.upf
CELL_PARAMETERS angstrom
-3.3298 2.0842 2.0901
-2.4229 -3.7296 -0.1409
1.6858 -1.2435 3.9257
ATOMIC_POSITIONS crystal
Na 0.5000 0.5000 0.5000
Co 0.0000 0.5000 0.0000
Co 0.0000 0.0000 0.5000
Co 0.5000 0.0000 0.0000
W 0.0000 0.0000 0.0000

Entry 11:
! Sr3Sn3Au8 (SCAN, PBEsol geometry); values from VASP
! ΔE_f (kJ/mol of atoms): -64.9
&SYSTEM
  ibrav = 0, nat = 14, ntyp = 3
/
ATOMIC_SPECIES
Sr 87.62 Sr.upf
Sn 118.71 Sn.upf
Au 196.97 Au.upf
CELL_PARAMETERS angstrom
4.6144 0.0000 0.0000
2.3072 8.6038 -0.0243
2.3072 3.1028 7.9761
ATOMIC_POSITIONS crystal
Sr 0.3003 0.6664 0.7329
Sr 0.6997 0.3336 0.2671
Sr 0.0000 0.0000 0.0000
Sn 0.0000 0.5000 0.5000
Sn 0.6733 0.9767 0.6766
Sn 0.3267 0.0233 0.3234
Au 0.1221 0.6061 0.1498
Au 0.8779 0.3939 0.8502
Au 0.8662 0.8440 0.4236
Au 0.1338 0.1560 0.5764
Au 0.5057 0.3021 0.6865
Au 0.4943 0.6979 0.3135
Au 0.3474 0.2776 0.0276
Au 0.6526 0.7224 0.9724

Entry 12:
! ScBe3Cu (SCAN, PBEsol geometry); values from VASP
! ΔE_f (kJ/mol of atoms): 10.0
&SYSTEM
  ibrav = 0, nat = 5, ntyp = 3
/
ATOMIC_SPECIES
Sc 44.96 Sc.upf
Be 9.01 Be.upf
Cu 63.55 Cu.upf
CELL_PARAMETERS angstrom
4.0027 0.0000 0.0000
0.0000 4.0027 0.0000
0.0000 0.0000 4.0027
ATOMIC_POSITIONS crystal
Sc 0.5000 0.5000 0.5000
Be 0.0000 0.5000 0.0000
Be 0.0000 0.0000 0.5000
Be 0.5000 0.0000 0.0000
Cu 0.0000 0.0000 0.0000

Entry 13:
! Na3NiPCO7 (SCAN, PBEsol geometry); values from VASP
! E_form (uncorrected) (eV per atom): -2.062
&SYSTEM
  ibrav = 0, nat = 26, ntyp = 5
/
ATOMIC_SPECIES
Na 22.99 Na.upf
Ni 58.69 Ni.upf
P 30.97 P.upf
C 12.01 C.upf
O 16.00 O.upf
CELL_PARAMETERS angstrom
-1.6999 4.9065 -1.0057
-5.1072 -0.9865 3.8199
4.5784 2.8373 6.8541
ATOMIC_POSITIONS crystal
Na 0.0002 0.5141 0.9996
Na 0.9998 0.0141 0.0004
Na 0.4410 0.7648 0.8404
Na 0.5590 0.2648 0.1596
Na 0.4981 0.5133 0.5005
Na 0.5019 0.0133 0.4995
Ni 0.0560 0.2633 0.7157
Ni 0.9440 0.7633 0.2843
P 0.9840 0.7632 0.6512
P 0.0160 0.2632 0.3488
C 0.5006 0.2634 0.8335
C 0.4994 0.7634 0.1665
O 0.3205 0.2637 0.9345
O 0.6795 0.7637 0.0655
O 0.7353 0.2640 0.8781
O 0.2647 0.7640 0.1219
O 0.0855 0.9528 0.7465
O 0.9145 0.4528 0.2535
O 0.0876 0.5738 0.7458
O 0.9124 0.0738 0.2542
O 0.4365 0.2623 0.6909
O 0.5635 0.7623 0.3091
O 0.6952 0.7625 0.6429
O 0.3048 0.2625 0.3571
O 0.1063 0.7640 0.4907
O 0.8937 0.2640 0.5093

Entry 14:
! SrAgAu (SCAN, PBEsol geometry); values from VASP
! ΔE_f (kJ/mol of atoms): -46.7
&SYSTEM
  ibrav = 0, nat = 3, ntyp = 3
/
ATOMIC_SPECIES
Ag 107.87 Ag.upf
Au 196.97 Au.upf
Sr 87.62 Sr.upf
CELL_PARAMETERS angstrom
-2.5551 -4.1110 -0.5304
0.5414 -3.6327 3.1970
-3.5890 -1.0552 3.1170
ATOMIC_POSITIONS crystal
Ag 0.5000 0.5000 0.5000
Au 0.2500 0.2500 0.2500
Sr 0.0000 0.0000 0.0000

Entry 15:
! Mg2CdAg (SCAN, PBEsol geometry); values from VASP
! ΔE_f (kJ/mol of atoms): -16.8
&SYSTEM
  ibrav = 0, nat = 4, ntyp = 3
/
ATOMIC_SPECIES
Mg 24.30 Mg.upf
Ag 107.87 Ag.upf
Cd 112.41 Cd.upf
CELL_PARAMETERS angstrom
4.1995 0.0000 0.0000
0.0000 4.1995 0.0000
-2.0997 -2.0997 4.3167
ATOMIC_POSITIONS crystal
Mg 0.0000 0.0000 0.0000
Mg 0.7500 0.2500 0.5000
Ag 0.5000 0.5000 0.0000
Cd 0.2500 0.7500 0.5000

Entry 16:
! Cu2IrPt (SCAN, PBEsol geometry); values from VASP
! ΔE_f (kJ/mol of atoms): 4.7
&SYSTEM
  ibrav = 0, nat = 4, ntyp = 3
/
ATOMIC_SPECIES
Cu 63.55 Cu.upf
Ir 192.22 Ir.upf
Pt 195.08 Pt.upf
CELL_PARAMETERS angstrom
-0.4018 -2.4268 0.9142
4.3161 0.0171 1.7471
-3.4816 2.8699 2.4192
ATOMIC_POSITIONS crystal
Cu 0.0000 0.0000 0.5000
Cu 0.5000 0.5000 0.5000
Ir 0.5000 0.0000 0.0000
Pt 0.0000 0.5000 0.0000

Entry 17:
! OsPt2WBr (SCAN, PBEsol geometry); values from VASP
! E_form (uncorrected) (eV per atom): 1.703
&SYSTEM
  ibrav = 0, nat = 5, ntyp = 4
/
ATOMIC_SPECIES
Br 79.90 Br.upf
Os 190.23 Os.upf
W 183.84 W.upf
Pt 195.08 Pt.upf
CELL_PARAMETERS angstrom
4.7328 0.0000 0.0000
0.0000 4.8095 0.0000
0.0000 0.0000 4.8095
ATOMIC_POSITIONS crystal
Br 0.5000 0.5000 0.5000
Os 0.0000 0.0000 0.0000
W 0.5000 0.0000 0.0000
Pt 0.0000 0.0000 0.5000
Pt 0.0000 0.5000 0.0000

Entry 18:
! UCr6P4 (SCAN, PBEsol geometry); values from VASP
! ΔE_f (kJ/mol of atoms): -51.0
&SYSTEM
  ibrav = 0, nat = 11, ntyp = 3
/
ATOMIC_SPECIES
U 238.03 U.upf
Cr 52.00 Cr.upf
P 30.97 P.upf
CELL_PARAMETERS angstrom
3.1563 0.0000 0.0000
0.0000 7.0349 0.0000
0.0000 -3.5174 6.0924
ATOMIC_POSITIONS crystal
U 0.0000 0.0000 0.0000
Cr 0.5000 0.1980 0.8020
Cr 0.0000 0.9293 0.4647
Cr 0.0000 0.5353 0.4647
Cr 0.5000 0.1980 0.3960
Cr 0.0000 0.5353 0.0707
Cr 0.5000 0.6040 0.8020
P 0.0000 0.3333 0.6667
P 0.5000 0.8118 0.6236
P 0.5000 0.8118 0.1882
P 0.5000 0.3764 0.1882

Entry 19:
! TaZn2 (SCAN, PBEsol geometry); values from VASP
! ΔE_f (kJ/mol of atoms): 47.1
&SYSTEM
  ibrav = 0, nat = 3, ntyp = 2
/
ATOMIC_SPECIES
Ta 180.95 Ta.upf
Zn 65.41 Zn.upf
CELL_PARAMETERS angstrom
-2.4315 -0.0290 1.2082
-2.0355 -3.9660 -1.1405
0.1315 -3.2673 3.2373
ATOMIC_POSITIONS crystal
Ta 0.0000 0.0000 0.0000
Zn 0.1714 0.3286 0.3286
Zn 0.8286 0.6714 0.6714

Entry 20:
! RbNa3SnO4 (SCAN, PBEsol geometry); values from VASP
! E_form (uncorrected) (eV per atom): -1.697
&SYSTEM
  ibrav = 0, nat = 72, ntyp = 4
/
ATOMIC_SPECIES
Rb 85.47 Rb.upf
Na 22.99 Na.upf
Sn 118.71 Sn.upf
O 16.00 O.upf
CELL_PARAMETERS angstrom
-0.6893 11.4148 2.7526
-9.9221 -6.0363 1.8613
7.4640 -6.1515 6.6930
ATOMIC_POSITIONS crystal
Rb 0.5362 0.4773 0.4869
Rb 0.4904 0.6911 0.7273
Rb 0.4638 0.9507 0.9411
Rb 0.9904 0.5131 0.0493
Rb 0.9638 0.2727 0.7631
Rb 0.0096 0.0589 0.5227
Rb 0.0362 0.7992 0.3089
Rb 0.5096 0.2369 0.2008
Na 0.6909 0.3488 0.7199
Na 0.1376 0.9394 0.8055
Na 0.6339 0.5518 0.1894
Na 0.8711 0.4700 0.2791
Na 0.6376 0.0820 0.4482
Na 0.6386 0.7980 0.4769
Na 0.1909 0.7209 0.5921
Na 0.8614 0.9520 0.7731
Na 0.3711 0.3421 0.6512
Na 0.8661 0.1982 0.0606
Na 0.3624 0.8106 0.4445
Na 0.3211 0.5231 0.1617
Na 0.1789 0.2269 0.0883
Na 0.3614 0.8383 0.1594
Na 0.8624 0.6680 0.8018
Na 0.1386 0.9117 0.0906
Na 0.1289 0.4079 0.5988
Na 0.1339 0.1945 0.3320
Na 0.3661 0.5555 0.9180
Na 0.8091 0.4012 0.5300
Na 0.6289 0.2801 0.9709
Na 0.3091 0.0291 0.6579
Na 0.6789 0.8406 0.2020
Na 0.8211 0.9094 0.0480
Sn 0.8609 0.7161 0.5022
Sn 0.7139 0.6051 0.9661
Sn 0.1391 0.6412 0.8551
Sn 0.2139 0.4978 0.3588
Sn 0.6391 0.0339 0.7478
Sn 0.2861 0.2522 0.8912
Sn 0.3609 0.1088 0.3949
Sn 0.7861 0.1449 0.2839
O 0.8107 0.7511 0.6401
O 0.8783 0.2502 0.4811
O 0.2568 0.4185 0.4933
O 0.7568 0.5135 0.0883
O 0.8890 0.0596 0.2489
O 0.1110 0.3599 0.1706
O 0.9252 0.5067 0.7635
O 0.2309 0.6282 0.7498
O 0.3890 0.3901 0.0794
O 0.6217 0.4998 0.7689
O 0.0939 0.1144 0.8591
O 0.3783 0.1472 0.8782
O 0.1217 0.6028 0.3718
O 0.3107 0.9206 0.3096
O 0.4252 0.9117 0.6685
O 0.2447 0.6091 0.0152
O 0.1893 0.8294 0.9404
O 0.2552 0.1409 0.2348
O 0.9061 0.7652 0.0204
O 0.6893 0.9989 0.6099
O 0.5748 0.2433 0.4865
O 0.5939 0.9848 0.2296
O 0.7553 0.7704 0.3644
O 0.7448 0.9796 0.8856
O 0.2691 0.1218 0.5002
O 0.7691 0.5189 0.3972
O 0.0748 0.8383 0.5815
O 0.4061 0.6356 0.3909
O 0.7432 0.2365 0.1617
O 0.7309 0.2311 0.8528
O 0.6110 0.6904 0.0011
O 0.2432 0.3315 0.7567